A relaxed structure of TbPrSnPb. Source: Alexandria via LeMat-Bulk, functional PBE-GGA.

Computed properties:
Crystal system ... cubic
Fermi-level density of states ... 1.210 states/eV per atom
Total energy ... -4.768 eV/atom

Unit cell a=5.505 b=5.505 c=5.505 alpha=60.00 beta=60.00 gamma=60.00
Fractional coordinates of all 4 atoms:
Pb  0.000  0.000  0.000
Tb  0.750  0.750  0.750
Sn  0.500  0.500  0.500
Pr  0.250  0.250  0.250

=====

A relaxed structure of Pr2TlCuSe4. Source: Alexandria via LeMat-Bulk, functional PBE-GGA.

Computed properties:
Crystal system ... orthorhombic
Raw formation energy ... -1309 meV per atom
Total energy ... -5.054 eV/atom

Unit cell a=4.242 b=7.588 c=14.723 alpha=90.00 beta=90.00 gamma=106.23
Fractional coordinates of all 16 atoms:
Se  0.435  0.869  0.750
Se  0.735  0.469  0.883
Se  0.000  0.000  0.500
Se  0.565  0.131  0.250
Se  0.265  0.531  0.383
Se  0.265  0.531  0.117
Se  0.735  0.469  0.617
Se  0.000  0.000  0.000
Tl  0.110  0.219  0.750
Tl  0.890  0.781  0.250
Cu  0.160  0.320  0.250
Cu  0.840  0.680  0.750
Pr  0.365  0.731  0.564
Pr  0.635  0.269  0.064
Pr  0.365  0.731  0.936
Pr  0.635  0.269  0.436

=====

A relaxed structure of EuGdLu2. Source: Alexandria via LeMat-Bulk, functional PBE-GGA.

Computed properties:
Crystal system ... tetragonal
Energy above the most stable polymorph in this dataset ... 44 meV/atom
Fermi-level density of states ... 1.573 states/eV per atom
Total energy ... -8.218 eV/atom

Unit cell a=3.931 b=5.734 c=5.734 alpha=90.00 beta=90.00 gamma=90.00
Fractional coordinates of all 4 atoms:
Lu  0.000  0.000  0.500
Lu  0.000  0.500  0.000
Gd  0.500  0.000  0.000
Eu  0.500  0.500  0.500

=====

A relaxed structure of Na3Np3CdSe8. Source: Alexandria via LeMat-Bulk, functional PBE-GGA.

Computed properties:
Crystal system ... trigonal
Fermi-level density of states ... 1.989 states/eV per atom
Raw formation energy ... -1063 meV per atom
Total energy ... -5.834 eV/atom

Unit cell a=8.246 b=8.243 c=8.472 alpha=119.11 beta=90.00 gamma=120.01
Fractional coordinates of all 15 atoms:
Se  0.246  0.491  0.727
Se  0.265  0.019  0.273
Se  0.754  0.509  0.273
Se  0.246  0.981  0.727
Se  0.735  0.981  0.727
Se  0.256  0.513  0.269
Se  0.754  0.019  0.273
Se  0.744  0.487  0.731
Na  0.500  0.500  0.000
Na  0.000  0.500  0.000
Na  0.000  0.000  0.000
Np  0.000  0.500  0.500
Np  0.500  0.500  0.500
Np  0.500  0.000  0.500
Cd  0.000  0.000  0.500